# La2VPbF PBE with a Hubbard U optimized geometry
data_La2VPbF
_space_group_name_H-M_alt 'P 4/m m m'
_space_group_IT_number 123
_space_group_name_Hall '-P 4 2'
_cell_length_a 6.278
_cell_length_b 6.278
_cell_length_c 4.564
_cell_angle_alpha 90.00
_cell_angle_beta 90.00
_cell_angle_gamma 90.00
loop_
_atom_site_label
_atom_site_type_symbol
_atom_site_fract_x
_atom_site_fract_y
_atom_site_fract_z
La1 La 0.000 0.500 0.000
V1 V 0.000 0.000 0.500
Pb1 Pb 0.500 0.500 0.000
F1 F 0.500 0.500 0.500
# * magnetization: 1.7 μB/f.u.
# * uncorrected energy: -21.0 eV for the cell shown